A plane-wave DFT calculation with PBE was carried out for ThSn4Rh2 after structural relaxation.

Values from the calculation:
density	9.85	g/cm³
D(E_F)	11.0	states/eV/cell
total magnetic moment	0.00	μB/f.u.
formation enthalpy at 0 K	-0.564	eV per atom

Cell: 18.469 4.587 7.263 Å, 90.00 90.00 90.00°
Space group Pnma (No. 62)
Unique sites:
Th (0.141, 0.250, 0.009) (multiplicity 4)
Sn (0.033, 0.750, 0.861) (multiplicity 4)
Sn (0.067, 0.250, 0.483) (multiplicity 4)
Sn (0.181, 0.750, 0.313) (multiplicity 4)
Sn (0.196, 0.750, 0.728) (multiplicity 4)
Rh (0.033, 0.750, 0.241) (multiplicity 4)
Rh (0.215, 0.250, 0.531) (multiplicity 4)